(1)
TiIrOs2: optimized geometry, PBE.

abc: 3.9285 3.8548 3.8548
angles: 90.00 90.00 90.00
Sites, in units of the cell vectors:
Ir1 0.5000 0.5000 0.5000
Os1 0.0000 0.0000 0.5000
Os2 0.0000 0.5000 0.0000
Ti1 0.5000 0.0000 0.0000

Properties
Crystal system   tetragonal
Final energy   -40.5 eV per formula unit
Polymorph energy (0 for the lowest one)   0 meV/atom
Energy of formation from the pure elements   -0.3264 eV per atom
Space-group type   No. 123


(2)
Mg2Ga3Cu5: optimized geometry, PBE.

abc: 5.1782 8.9007 8.9007
angles: 84.51 59.04 59.04
Sites, in units of the cell vectors:
Cu1 0.7500 0.5289 0.4711
Cu2 0.1091 0.0324 0.7286
Cu3 0.3909 0.2714 0.9676
Cu4 0.4831 0.7199 0.7927
Cu5 0.9831 0.7927 0.7199
Cu6 0.8909 0.9676 0.2714
Cu7 0.6091 0.7286 0.0324
Cu8 0.0169 0.2073 0.2801
Cu9 0.2500 0.4711 0.5289
Cu10 0.5169 0.2801 0.2073
Ga1 0.6726 0.5023 0.2186
Ga2 0.3274 0.4977 0.7814
Ga3 0.7500 0.9630 0.0370
Ga4 0.2500 0.0370 0.9630
Ga5 0.1726 0.2186 0.5023
Ga6 0.8274 0.7814 0.4977
Mg1 0.1328 0.6212 0.1358
Mg2 0.8672 0.3788 0.8642
Mg3 0.3672 0.8642 0.3788
Mg4 0.6328 0.1358 0.6212

Properties
Crystal system   monoclinic
Final energy   -33.9 eV per formula unit
Energy of formation from the pure elements   -0.1189 eV per atom
Space-group type   No. 15


What did the first record say?
TiIrOs2: optimized geometry, PBE.

abc: 3.9285 3.8548 3.8548
angles: 90.00 90.00 90.00
Sites, in units of the cell vectors:
Ir1 0.5000 0.5000 0.5000
Os1 0.0000 0.0000 0.5000
Os2 0.0000 0.5000 0.0000
Ti1 0.5000 0.0000 0.0000

Properties
Crystal system   tetragonal
Final energy   -40.5 eV per formula unit
Polymorph energy (0 for the lowest one)   0 meV/atom
Energy of formation from the pure elements   -0.3264 eV per atom
Space-group type   No. 123


- Look up the energy of formation from the pure elements of the first one.
  -0.3264 eV per atom